Entry i
Sr5Pb3 (PBE, relaxed); calculated density = 5.5 g/cm³; crystal system = orthorhombic
1.0
9.229 0.000 0.000
0.000 12.411 0.000
0.000 0.000 5.596
Sr Pb
10 6
Direct
0.000 0.000 0.000 Sr
0.197 0.500 0.500 Sr
0.250 0.250 0.000 Sr
0.250 0.750 0.000 Sr
0.303 0.000 0.500 Sr
0.500 0.500 0.000 Sr
0.697 0.000 0.500 Sr
0.750 0.250 0.000 Sr
0.750 0.750 0.000 Sr
0.803 0.500 0.500 Sr
0.000 0.163 0.500 Pb
0.000 0.500 0.000 Pb
0.000 0.837 0.500 Pb
0.500 0.000 0.000 Pb
0.500 0.337 0.500 Pb
0.500 0.663 0.500 Pb

Entry ii
Sr5Pb3 (PBE, relaxed); calculated density = 5.6 g/cm³; crystal system = tetragonal
1.0
-4.360 4.360 8.291
4.360 -4.360 8.291
4.360 4.360 -8.291
Sr Pb
10 6
Direct
0.000 0.000 0.000 Sr
0.031 0.531 0.848 Sr
0.183 0.031 0.500 Sr
0.317 0.817 0.848 Sr
0.469 0.317 0.500 Sr
0.500 0.500 0.000 Sr
0.531 0.683 0.500 Sr
0.683 0.183 0.152 Sr
0.817 0.969 0.500 Sr
0.969 0.469 0.152 Sr
0.126 0.374 0.500 Pb
0.250 0.250 0.000 Pb
0.374 0.874 0.249 Pb
0.626 0.126 0.751 Pb
0.750 0.750 0.000 Pb
0.874 0.626 0.500 Pb

The most stable arrangement is entry ii, and the next structure is 9.7 kJ/mol of atoms less stable.

Entry i
Sr5Pb2 (PBE, relaxed); calculated density = 4.7 g/cm³; crystal system = monoclinic
1.0
9.220 -3.873 0.000
9.220 3.873 0.000
-0.849 0.000 8.512
Sr Pb
10 4
Direct
0.062 0.938 0.750 Sr
0.171 0.278 0.308 Sr
0.274 0.546 0.067 Sr
0.278 0.171 0.808 Sr
0.454 0.726 0.433 Sr
0.546 0.274 0.567 Sr
0.722 0.829 0.192 Sr
0.726 0.454 0.933 Sr
0.829 0.722 0.692 Sr
0.938 0.062 0.250 Sr
0.116 0.670 0.442 Pb
0.330 0.884 0.058 Pb
0.670 0.116 0.942 Pb
0.884 0.330 0.558 Pb

Entry ii
Sr5Pb2 (PBE, relaxed); calculated density = 5.0 g/cm³; crystal system = orthorhombic
1.0
-4.340 8.580 3.834
4.340 -8.580 3.834
4.340 8.580 -3.834
Sr Pb
10 4
Direct
0.019 0.250 0.769 Sr
0.083 0.650 0.733 Sr
0.250 0.250 0.000 Sr
0.417 0.150 0.568 Sr
0.481 0.250 0.231 Sr
0.519 0.750 0.769 Sr
0.583 0.850 0.432 Sr
0.750 0.750 0.000 Sr
0.917 0.350 0.267 Sr
0.981 0.750 0.231 Sr
0.122 0.262 0.384 Pb
0.378 0.762 0.139 Pb
0.622 0.238 0.861 Pb
0.878 0.738 0.616 Pb

The most stable arrangement is entry i, and the next structure is 4.1 kJ/mol of atoms less stable.